*i*
The following is a DFT calculation (PBE-GGA) of an optimized crystal structure of Ba2SrCdNi.

N(E_F)   5.18 states/eV per cell
Symmetry   P4/mmm (123)
M_tot   0.00 μB/f.u.

Lattice parameters (Å, degrees): 6.078 6.078 5.312 90.00 90.00 90.00
Fractional coordinates of all 5 atoms:
Sr: 0.500 0.500 0.500
Ni: 0.000 0.000 0.000
Ba: 0.000 0.500 0.000
Ba: 0.500 0.000 0.000
Cd: 0.000 0.000 0.500

***

*ii*
The following is a DFT calculation (PBE-GGA) of an optimized crystal structure of Ba2SrCdNi.

N(E_F)   3.62 states/eV per cell
Symmetry   P4/mmm (123)
M_tot   0.00 μB/f.u.

Lattice parameters (Å, degrees): 6.013 6.013 5.805 90.00 90.00 90.00
Fractional coordinates of all 5 atoms:
Sr: 0.000 0.000 0.500
Ni: 0.000 0.000 0.000
Ba: 0.000 0.500 0.000
Ba: 0.500 0.000 0.000
Cd: 0.500 0.500 0.500

***

On energetic grounds, *ii* is preferred over the next structure by 44 meV per atom.

***

*i*
The following is a DFT calculation (PBE-GGA) of an optimized crystal structure of BaTl2CdNi.

N(E_F)   3.94 states/eV per cell
Symmetry   P4/mmm (123)
M_tot   0.00 μB/f.u.

Lattice parameters (Å, degrees): 5.188 5.188 5.743 90.00 90.00 90.00
Fractional coordinates of all 5 atoms:
Ni: 0.000 0.000 0.000
Tl: 0.000 0.500 0.000
Tl: 0.500 0.000 0.000
Ba: 0.000 0.000 0.500
Cd: 0.500 0.500 0.500

***

*ii*
The following is a DFT calculation (PBE-GGA) of an optimized crystal structure of BaTl2CdNi.

N(E_F)   3.55 states/eV per cell
Symmetry   P4/mmm (123)
M_tot   0.00 μB/f.u.

Lattice parameters (Å, degrees): 5.190 5.190 5.194 90.00 90.00 90.00
Fractional coordinates of all 5 atoms:
Ni: 0.000 0.000 0.000
Tl: 0.000 0.500 0.000
Tl: 0.500 0.000 0.000
Ba: 0.500 0.500 0.500
Cd: 0.000 0.000 0.500

***

On energetic grounds, *ii* is preferred over the next structure by 108 meV per atom.

***

*i*
The following is a DFT calculation (PBE-GGA) of an optimized crystal structure of Ba2CdO3.

Symmetry   Immm (71)
M_tot   0.00 μB/f.u.

Lattice parameters (Å, degrees): 3.727 5.489 11.239 90.00 90.00 90.00
Fractional coordinates of all 12 atoms:
Ba: 0.500 0.000 0.164
Ba: 0.000 0.500 0.664
Ba: 0.000 0.500 0.336
Ba: 0.500 0.000 0.836
Cd: 0.000 0.500 0.000
Cd: 0.500 0.000 0.500
O: 0.000 0.000 0.000
O: 0.500 0.500 0.500
O: 0.500 0.500 0.145
O: 0.500 0.500 0.855
O: 0.000 0.000 0.645
O: 0.000 0.000 0.355

***

*ii*
The following is a DFT calculation (PBE-GGA) of an optimized crystal structure of Ba2CdO3.

N(E_F)   0.00 states/eV per cell
Symmetry   Cmcm (63)
M_tot   0.00 μB/f.u.

Lattice parameters (Å, degrees): 3.579 6.579 9.973 90.00 100.34 90.00
Fractional coordinates of all 12 atoms:
Ba: 0.161 0.750 0.323
Ba: 0.839 0.250 0.677
Ba: 0.975 0.750 0.950
Ba: 0.025 0.250 0.050
Cd: 0.331 0.750 0.661
Cd: 0.669 0.250 0.339
O: 0.413 0.502 0.827
O: 0.587 0.498 0.173
O: 0.413 0.998 0.827
O: 0.587 0.002 0.173
O: 0.765 0.750 0.530
O: 0.235 0.250 0.470

***

On energetic grounds, *i* is preferred over the next structure by 12 meV per atom.

***

*i*
The following is a DFT calculation (PBE-GGA) of an optimized crystal structure of Ba4CdO.

N(E_F)   10.42 states/eV per cell
Symmetry   P2_1/m (11)
M_tot   0.00 μB/f.u.

Lattice parameters (Å, degrees): 7.194 9.546 11.151 90.00 90.00 131.36
Fractional coordinates of all 12 atoms:
Ba: 0.623 0.788 0.750
Ba: 0.377 0.212 0.250
Ba: 0.373 0.161 0.750
Ba: 0.627 0.839 0.250
Ba: 0.999 0.720 0.057
Ba: 0.001 0.280 0.557
Ba: 0.999 0.720 0.443
Ba: 0.001 0.280 0.943
Cd: 0.996 0.617 0.750
Cd: 0.004 0.383 0.250
O: 0.999 0.134 0.750
O: 0.001 0.866 0.250

***

*ii*
The following is a DFT calculation (PBE-GGA) of an optimized crystal structure of Ba4CdO.

N(E_F)   12.08 states/eV per cell
Symmetry   Pmn2_1 (31)
M_tot   0.00 μB/f.u.

Lattice parameters (Å, degrees): 6.753 7.565 11.050 90.00 90.00 90.00
Fractional coordinates of all 12 atoms:
Ba: 0.392 0.697 0.000
Ba: 0.847 0.372 0.000
Ba: 0.376 0.197 0.811
Ba: 0.876 0.803 0.689
Ba: 0.347 0.628 0.500
Ba: 0.892 0.303 0.500
Ba: 0.876 0.803 0.311
Ba: 0.376 0.197 0.189
Cd: 0.910 0.911 0.000
Cd: 0.410 0.089 0.500
O: 0.470 0.371 0.000
O: 0.970 0.629 0.500

***

On energetic grounds, *i* is preferred over the next structure by 12 meV per atom.

***

*i*
The following is a DFT calculation (PBE-GGA) of an optimized crystal structure of Ba4Cd2O.

N(E_F)   8.33 states/eV per cell
Symmetry   I4/mmm (139)
M_tot   0.00 μB/f.u.

Lattice parameters (Å, degrees): 5.481 5.481 9.757 73.69 73.69 90.00
Fractional coordinates of all 7 atoms:
Ba: 0.833 0.833 0.335
Ba: 0.167 0.167 0.665
Ba: 0.000 0.500 0.000
Ba: 0.500 0.000 0.000
O: 0.000 0.000 0.000
Cd: 0.633 0.633 0.735
Cd: 0.367 0.367 0.265

***

*ii*
The following is a DFT calculation (PBE-GGA) of an optimized crystal structure of Ba4Cd2O.

N(E_F)   27.21 states/eV per cell
Symmetry   Pnma (62)
M_tot   0.00 μB/f.u.

Lattice parameters (Å, degrees): 8.126 10.241 14.578 90.00 90.00 90.00
Fractional coordinates of all 28 atoms:
Ba: 0.505 0.681 0.843
Ba: 0.495 0.319 0.157
Ba: 0.495 0.819 0.343
Ba: 0.005 0.319 0.157
Ba: 0.505 0.181 0.657
Ba: 0.995 0.681 0.843
Ba: 0.995 0.181 0.657
Ba: 0.005 0.819 0.343
Ba: 0.750 0.024 0.920
Ba: 0.250 0.976 0.080
Ba: 0.250 0.476 0.420
Ba: 0.750 0.524 0.580
Ba: 0.750 0.190 0.416
Ba: 0.250 0.810 0.584
Ba: 0.250 0.310 0.916
Ba: 0.750 0.690 0.084
Cd: 0.750 0.526 0.326
Cd: 0.250 0.474 0.674
Cd: 0.250 0.974 0.826
Cd: 0.750 0.026 0.174
Cd: 0.750 0.886 0.566
Cd: 0.250 0.114 0.434
Cd: 0.250 0.614 0.066
Cd: 0.750 0.386 0.934
O: 0.750 0.780 0.921
O: 0.250 0.220 0.079
O: 0.250 0.720 0.421
O: 0.750 0.280 0.579

***

*iii*
The following is a DFT calculation (PBE-GGA) of an optimized crystal structure of Ba4Cd2O.

N(E_F)   13.56 states/eV per cell
Symmetry   P2_1/m (11)
M_tot   0.00 μB/f.u.

Lattice parameters (Å, degrees): 7.692 8.101 10.225 90.00 108.29 90.00
Fractional coordinates of all 14 atoms:
Ba: 0.502 0.511 0.271
Ba: 0.127 0.750 0.948
Ba: 0.873 0.250 0.052
Ba: 0.502 0.989 0.271
Ba: 0.930 0.250 0.649
Ba: 0.498 0.011 0.729
Ba: 0.498 0.489 0.729
Ba: 0.070 0.750 0.351
Cd: 0.682 0.750 0.030
Cd: 0.318 0.250 0.970
Cd: 0.216 0.250 0.415
Cd: 0.784 0.750 0.585
O: 0.280 0.750 0.206
O: 0.720 0.250 0.794

***

On energetic grounds, *iii* is preferred over the next structure by 17 meV per atom.

***

*i*
The following is a DFT calculation (PBE-GGA) of an optimized crystal structure of BaCd3Os.

N(E_F)   3.08 states/eV per cell
Symmetry   Pm-3m (221)
M_tot   0.00 μB/f.u.

Lattice parameters (Å, degrees): 5.283 5.283 5.283 90.00 90.00 90.00
Fractional coordinates of all 5 atoms:
Os: 0.000 0.000 0.000
Ba: 0.500 0.500 0.500
Cd: 0.000 0.500 0.000
Cd: 0.000 0.000 0.500
Cd: 0.500 0.000 0.000

***

*ii*
The following is a DFT calculation (PBE-GGA) of an optimized crystal structure of BaCd3Os.

N(E_F)   11.61 states/eV per cell
Symmetry   Pm-3m (221)
M_tot   2.47 μB/f.u.

Lattice parameters (Å, degrees): 6.448 6.448 6.448 90.00 90.00 90.00
Fractional coordinates of all 5 atoms:
Os: 0.500 0.500 0.500
Ba: 0.000 0.000 0.000
Cd: 0.000 0.500 0.000
Cd: 0.000 0.000 0.500
Cd: 0.500 0.000 0.000

***

On energetic grounds, *i* is preferred over the next structure by 1765 meV per atom.

***

*i*
The following is a DFT calculation (PBE-GGA) of an optimized crystal structure of BaCd2Os2.

N(E_F)   7.41 states/eV per cell
Symmetry   I4/mmm (139)
M_tot   0.00 μB/f.u.

Lattice parameters (Å, degrees): 4.791 4.791 6.297 67.64 67.64 90.00
Fractional coordinates of all 5 atoms:
Os: 0.393 0.393 0.215
Os: 0.607 0.607 0.785
Ba: 0.000 0.000 0.000
Cd: 0.750 0.250 0.500
Cd: 0.250 0.750 0.500

***

*ii*
The following is a DFT calculation (PBE-GGA) of an optimized crystal structure of BaCd2Os2.

N(E_F)   9.05 states/eV per cell
Symmetry   P4/mbm (127)
M_tot   0.74 μB/f.u.

Lattice parameters (Å, degrees): 8.457 8.457 3.034 90.00 90.00 90.00
Fractional coordinates of all 10 atoms:
Os: 0.400 0.900 0.000
Os: 0.900 0.600 0.000
Os: 0.600 0.100 0.000
Os: 0.100 0.400 0.000
Ba: 0.000 0.000 0.000
Ba: 0.500 0.500 0.000
Cd: 0.184 0.684 0.500
Cd: 0.684 0.816 0.500
Cd: 0.816 0.316 0.500
Cd: 0.316 0.184 0.500

***

On energetic grounds, *i* is preferred over the next structure by 139 meV per atom.

***

*i*
The following is a DFT calculation (PBE-GGA) of an optimized crystal structure of BaCdP.

Symmetry   Cm (8)
M_tot   0.00 μB/f.u.

Lattice parameters (Å, degrees): 7.247 4.465 11.811 90.00 104.34 90.00
Fractional coordinates of all 12 atoms:
Ba: 0.638 0.000 0.994
Ba: 0.638 0.500 0.494
Ba: 0.276 0.000 0.684
Ba: 0.276 0.500 0.184
Cd: 0.814 0.000 0.715
Cd: 0.814 0.500 0.215
Cd: 0.977 0.000 0.399
Cd: 0.977 0.500 0.899
P: 0.163 0.000 0.952
P: 0.163 0.500 0.452
P: 0.612 0.000 0.285
P: 0.612 0.500 0.785

***

*ii*
The following is a DFT calculation (PBE-GGA) of an optimized crystal structure of BaCdP.

N(E_F)   1.49 states/eV per cell
Symmetry   Cm (8)
M_tot   0.00 μB/f.u.

Lattice parameters (Å, degrees): 7.693 4.544 11.050 90.00 101.15 90.00
Fractional coordinates of all 12 atoms:
Ba: 0.174 0.000 0.111
Ba: 0.174 0.500 0.611
Ba: 0.532 0.000 0.882
Ba: 0.532 0.500 0.382
Cd: 0.791 0.000 0.606
Cd: 0.791 0.500 0.106
Cd: 0.937 0.000 0.384
Cd: 0.937 0.500 0.884
P: 0.051 0.000 0.798
P: 0.051 0.500 0.298
P: 0.457 0.000 0.579
P: 0.457 0.500 0.079

***

On energetic grounds, *ii* is preferred over the next structure by 8 meV per atom.

***

*i*
The following is a DFT calculation (PBE-GGA) of an optimized crystal structure of BaCdP3.

N(E_F)   5.88 states/eV per cell
Symmetry   Pm-3m (221)
M_tot   0.00 μB/f.u.

Lattice parameters (Å, degrees): 5.690 5.690 5.690 90.00 90.00 90.00
Fractional coordinates of all 5 atoms:
P: 0.000 0.500 0.000
P: 0.000 0.000 0.500
P: 0.500 0.000 0.000
Ba: 0.000 0.000 0.000
Cd: 0.500 0.500 0.500

***

*ii*
The following is a DFT calculation (PBE-GGA) of an optimized crystal structure of BaCdP3.

N(E_F)   3.79 states/eV per cell
Symmetry   Pm-3m (221)
M_tot   0.00 μB/f.u.

Lattice parameters (Å, degrees): 5.095 5.095 5.095 90.00 90.00 90.00
Fractional coordinates of all 5 atoms:
P: 0.000 0.500 0.000
P: 0.000 0.000 0.500
P: 0.500 0.000 0.000
Ba: 0.500 0.500 0.500
Cd: 0.000 0.000 0.000

***

On energetic grounds, *ii* is preferred over the next structure by 1125 meV per atom.

***

*i*
The following is a DFT calculation (PBE-GGA) of an optimized crystal structure of BaCd3P.

N(E_F)   3.17 states/eV per cell
Symmetry   Pm-3m (221)
M_tot   0.00 μB/f.u.

Lattice parameters (Å, degrees): 5.342 5.342 5.342 90.00 90.00 90.00
Fractional coordinates of all 5 atoms:
P: 0.000 0.000 0.000
Ba: 0.500 0.500 0.500
Cd: 0.000 0.500 0.000
Cd: 0.000 0.000 0.500
Cd: 0.500 0.000 0.000

***

*ii*
The following is a DFT calculation (PBE-GGA) of an optimized crystal structure of BaCd3P.

N(E_F)   12.29 states/eV per cell
Symmetry   Pm-3m (221)
M_tot   1.33 μB/f.u.

Lattice parameters (Å, degrees): 6.739 6.739 6.739 90.00 90.00 90.00
Fractional coordinates of all 5 atoms:
P: 0.500 0.500 0.500
Ba: 0.000 0.000 0.000
Cd: 0.000 0.500 0.000
Cd: 0.000 0.000 0.500
Cd: 0.500 0.000 0.000

***

On energetic grounds, *i* is preferred over the next structure by 1017 meV per atom.

***

*i*
The following is a DFT calculation (PBE-GGA) of an optimized crystal structure of Ba4CdP.

N(E_F)   9.93 states/eV per cell
Symmetry   C2/c (15)
M_tot   0.79 μB/f.u.

Lattice parameters (Å, degrees): 7.825 8.474 9.930 72.93 66.79 90.00
Fractional coordinates of all 12 atoms:
Ba: 0.324 0.027 0.192
Ba: 0.516 0.473 0.808
Ba: 0.676 0.973 0.808
Ba: 0.484 0.527 0.192
Ba: 0.781 0.845 0.336
Ba: 0.117 0.655 0.664
Ba: 0.219 0.155 0.664
Ba: 0.883 0.345 0.336
Cd: 0.189 0.750 0.000
Cd: 0.811 0.250 0.000
P: 0.000 0.000 0.500
P: 0.500 0.500 0.500

***

*ii*
The following is a DFT calculation (PBE-GGA) of an optimized crystal structure of Ba4CdP.

N(E_F)   7.84 states/eV per cell
Symmetry   F-43m (216)
M_tot   1.26 μB/f.u.

Lattice parameters (Å, degrees): 7.121 7.121 7.121 60.00 60.00 60.00
Fractional coordinates of all 6 atoms:
Ba: 0.879 0.374 0.374
Ba: 0.374 0.374 0.879
Ba: 0.374 0.879 0.374
Ba: 0.374 0.374 0.374
Cd: 0.750 0.750 0.750
P: 0.000 0.000 0.000

***

On energetic grounds, *i* is preferred over the next structure by 834 meV per atom.